The following is a DFT calculation (PBE) of crystalline TlCu2Os at its relaxed geometry.

Computed properties:
- density (g/cm³) = 14.06
- final energy (eV for the cell shown) = -38.69
- energy of formation (eV per atom) = 0.61
- total magnetic moment (μB per cell) = 0.870

Cell lengths 10.1342, 2.8448, 4.7629 Å; angles 90.00, 116.20, 90.00 degrees
With the nearest neighbours (Å) after each atom.
Space group Cm (No. 8)
Unique sites:
1 Tl 0.0000 0.0000 0.0000 x2  7 Cu 2.73-2.82, 3 Os 2.79-2.88, 2 Tl 2.84
2 Cu 0.0027 0.5000 0.4915 x2  3 Os 2.70-2.83, 5 Cu 2.70-2.96, 4 Tl 2.73-2.82
3 Cu 0.2403 0.0000 0.8768 x2  5 Cu 2.70-2.96, 4 Os 2.74-2.82, 3 Tl 2.75-2.82
4 Os 0.2617 0.5000 0.4068 x2  7 Cu 2.70-2.83, 3 Tl 2.79-2.88, 2 Os 2.84

=====

The following is a DFT calculation (PBE) of crystalline TlCu2Os at its relaxed geometry.

Computed properties:
- density (g/cm³) = 14.19
- final energy (eV for the cell shown) = -37.92
- energy of formation (eV per atom) = 0.71
- total magnetic moment (μB per cell) = 0.001

Cell lengths 4.0751, 4.0751, 7.3507 Å; angles 90.00, 90.00, 90.00 degrees
With the nearest neighbours (Å) after each atom.
Space group I4/mmm (No. 139)
Unique sites:
1 Tl 0.0000 0.0000 0.0000 x2  8 Cu 2.74, 4 Os 2.88
2 Cu 0.0000 0.5000 0.2500 x4  4 Tl 2.74, 4 Os 2.74, 4 Cu 2.88
3 Os 0.0000 0.0000 0.5000 x2  8 Cu 2.74, 4 Tl 2.88

=====

The following is a DFT calculation (PBE) of crystalline Tl2CuOs at its relaxed geometry.

Computed properties:
- density (g/cm³) = 14.84
- final energy (eV for the cell shown) = -33.28
- energy of formation (eV per atom) = 0.85
- total magnetic moment (μB per cell) = 0.000

Cell lengths 4.2902, 4.2902, 8.0537 Å; angles 90.00, 90.00, 90.00 degrees
With the nearest neighbours (Å) after each atom.
Space group I4/mmm (No. 139)
Unique sites:
1 Tl 0.0000 0.5000 0.2500 x4  4 Os 2.94, 4 Cu 2.94, 4 Tl 3.03
2 Cu 0.0000 0.0000 0.0000 x2  8 Tl 2.94, 4 Os 3.03
3 Os 0.0000 0.0000 0.5000 x2  8 Tl 2.94, 4 Cu 3.03

=====

The following is a DFT calculation (PBE) of crystalline Tl2CuOs at its relaxed geometry.

Computed properties:
- density (g/cm³) = 13.11
- final energy (eV for the cell shown) = -34.52
- energy of formation (eV per atom) = 0.70
- total magnetic moment (μB per cell) = 0.000

Cell lengths 12.9585, 2.9865, 4.6431 Å; angles 90.00, 110.89, 90.00 degrees
With the nearest neighbours (Å) after each atom.
Space group Cm (No. 8)
Unique sites:
1 Tl 0.0000 0.0000 0.0000 x2  2 Tl 2.99, 2 Os 2.99, 4 Cu 3.07
2 Tl 0.2189 0.0000 0.7198 x2  4 Os 2.76, 2 Tl 2.99
3 Cu 0.3892 0.0000 0.3893 x2  2 Os 2.59
4 Os 0.2144 0.5000 0.2155 x2  2 Cu 2.59, 4 Tl 2.76

=====

The following is a DFT calculation (PBE) of crystalline TlCu2Os at its relaxed geometry.

Computed properties:
- density (g/cm³) = 14.05
- final energy (eV for the cell shown) = -38.16
- energy of formation (eV per atom) = 0.68
- total magnetic moment (μB per cell) = 1.185

Cell lengths 3.9128, 3.9128, 8.0531 Å; angles 90.00, 90.00, 90.00 degrees
With the nearest neighbours (Å) after each atom.
Space group I-4m2 (No. 119)
Unique sites:
1 Tl 0.0000 0.0000 0.0000 x2  8 Cu 2.77-2.81, 4 Os 2.81
2 Cu 0.0000 0.0000 0.5000 x2  4 Tl 2.77, 4 Os 2.81, 4 Cu 2.81
3 Cu 0.0000 0.5000 0.7500 x2  4 Os 2.77, 4 Tl 2.81, 4 Cu 2.81
4 Os 0.0000 0.5000 0.2500 x2  8 Cu 2.77-2.81, 4 Tl 2.81

=====

The following is a DFT calculation (PBE) of crystalline Tl2CuOs at its relaxed geometry.

Computed properties:
- density (g/cm³) = 14.21
- final energy (eV for the cell shown) = -16.37
- energy of formation (eV per atom) = 0.92
- total magnetic moment (μB per cell) = 0.855

Cell lengths 3.0502, 4.4442, 5.7204 Å; angles 90.00, 93.47, 90.00 degrees
With the nearest neighbours (Å) after each atom.
Space group P2/m (No. 10)
Unique sites:
1 Tl 0.2067 0.0000 0.2509 x2  2 Cu 2.73, 2 Os 2.82, 2 Tl 3.05
2 Cu 0.0000 0.5000 0.5000 x1  4 Tl 2.73, 2 Cu 3.05
3 Os 0.5000 0.5000 0.0000 x1  4 Tl 2.82, 2 Os 3.05

=====

The following is a DFT calculation (PBE) of crystalline Tl2CuOs at its relaxed geometry.

Computed properties:
- density (g/cm³) = 14.79
- final energy (eV for the cell shown) = -33.54
- energy of formation (eV per atom) = 0.82
- total magnetic moment (μB per cell) = 0.000

Cell lengths 6.1768, 7.3670, 3.2703 Å; angles 90.00, 90.00, 90.00 degrees
With the nearest neighbours (Å) after each atom.
Space group Cmmm (No. 65)
Unique sites:
1 Tl 0.2500 0.2500 0.0000 x4  4 Cu 2.91, 4 Os 2.91, 2 Tl 3.09
2 Cu 0.0000 0.0000 0.5000 x2  8 Tl 2.91, 2 Os 3.09
3 Os 0.0000 0.5000 0.5000 x2  8 Tl 2.91, 2 Cu 3.09

=====

The following is a DFT calculation (PBE) of crystalline TlCu2Os at its relaxed geometry.

Computed properties:
- density (g/cm³) = 12.46
- final energy (eV for the cell shown) = -72.49
- energy of formation (eV per atom) = 0.92
- total magnetic moment (μB per cell) = 3.246

Cell lengths 3.8897, 3.8897, 18.3886 Å; angles 90.00, 90.00, 90.00 degrees
With the nearest neighbours (Å) after each atom.
Space group I-42d (No. 122)
Unique sites:
1 Tl 0.0000 0.0000 0.0000 x4  4 Os 2.75, 4 Cu 2.76
2 Cu 0.1972 0.2500 0.6250 x8  2 Cu 2.48, 2 Os 2.61, 2 Tl 2.76
3 Os 0.0000 0.0000 0.5000 x4  4 Cu 2.61, 4 Tl 2.75

=====

The following is a DFT calculation (PBE) of crystalline TlCu2Os at its relaxed geometry.

Computed properties:
- density (g/cm³) = 14.28
- final energy (eV for the cell shown) = -19.46
- energy of formation (eV per atom) = 0.58
- total magnetic moment (μB per cell) = 0.167

Cell lengths 4.0023, 4.0023, 3.7879 Å; angles 90.00, 90.00, 90.00 degrees
With the nearest neighbours (Å) after each atom.
Space group P4/mmm (No. 123)
Unique sites:
1 Tl 0.0000 0.0000 0.0000 x1  8 Cu 2.76, 4 Os 2.83
2 Cu 0.0000 0.5000 0.5000 x2  4 Tl 2.76, 4 Os 2.76, 4 Cu 2.83
3 Os 0.5000 0.5000 0.0000 x1  8 Cu 2.76, 4 Tl 2.83

=====

The following is a DFT calculation (PBE) of crystalline TlCu2Os at its relaxed geometry.

Computed properties:
- density (g/cm³) = 13.43
- final energy (eV for the cell shown) = -57.47
- energy of formation (eV per atom) = 0.66
- total magnetic moment (μB per cell) = 0.926

Cell lengths 2.8868, 2.8868, 26.8183 Å; angles 90.00, 90.00, 120.00 degrees
With the nearest neighbours (Å) after each atom.
Space group R-3m (No. 166, hexagonal axes)
Unique sites:
1 Tl 0.0000 0.0000 0.0000 x3  6 Tl 2.89, 6 Cu 2.95
2 Cu 0.0000 0.0000 0.2424 x6  3 Os 2.63, 6 Cu 2.89
3 Os 0.0000 0.0000 0.5000 x3  6 Cu 2.63, 6 Os 2.89

=====

The following is a DFT calculation (PBE) of crystalline Tl2CuOs at its relaxed geometry.

Computed properties:
- density (g/cm³) = 14.30
- final energy (eV for the cell shown) = -62.92
- energy of formation (eV per atom) = 1.08
- total magnetic moment (μB per cell) = 1.017

Cell lengths 6.7512, 6.7512, 6.7512 Å; angles 90.00, 90.00, 90.00 degrees
With the nearest neighbours (Å) after each atom.
Space group F-43m (No. 216)
Unique sites:
1 Tl 0.0000 0.0000 0.0000 x4  4 Cu 2.92, 4 Tl 2.92
2 Tl 0.2500 0.2500 0.2500 x4  4 Tl 2.92, 4 Os 2.92
3 Cu 0.2500 0.2500 0.7500 x4  4 Tl 2.92, 4 Os 2.92
4 Os 0.0000 0.0000 0.5000 x4  4 Tl 2.92, 4 Cu 2.92

=====

The following is a DFT calculation (PBE) of crystalline TlCu2Os at its relaxed geometry.

Computed properties:
- density (g/cm³) = 13.80
- final energy (eV for the cell shown) = -19.40
- energy of formation (eV per atom) = 0.60
- total magnetic moment (μB per cell) = 0.000

Cell lengths 2.8012, 3.9211, 5.7188 Å; angles 90.00, 91.35, 90.00 degrees
With the nearest neighbours (Å) after each atom.
Space group P2/m (No. 10)
Unique sites:
1 Tl 0.0000 0.0000 0.0000 x1  2 Tl 2.80, 2 Os 2.86, 8 Cu 2.89-2.95
2 Cu 0.4928 0.5000 0.2884 x2  1 Cu 2.42, 4 Os 2.69-2.70
3 Os 0.0000 0.0000 0.5000 x1  8 Cu 2.69-2.70, 2 Os 2.80, 2 Tl 2.86

=====

Question: The highest density belongs to which entry?
Answer: number 3

=====

Question: The highest final energy belongs to which entry?
Answer: number 6

=====

Question: Among the records above, which one has the lowest density?
Answer: number 8

=====

Copy entry 2 word for word.
The following is a DFT calculation (PBE) of crystalline TlCu2Os at its relaxed geometry.

Computed properties:
- density (g/cm³) = 14.19
- final energy (eV for the cell shown) = -37.92
- energy of formation (eV per atom) = 0.71
- total magnetic moment (μB per cell) = 0.001

Cell lengths 4.0751, 4.0751, 7.3507 Å; angles 90.00, 90.00, 90.00 degrees
With the nearest neighbours (Å) after each atom.
Space group I4/mmm (No. 139)
Unique sites:
1 Tl 0.0000 0.0000 0.0000 x2  8 Cu 2.74, 4 Os 2.88
2 Cu 0.0000 0.5000 0.2500 x4  4 Tl 2.74, 4 Os 2.74, 4 Cu 2.88
3 Os 0.0000 0.0000 0.5000 x2  8 Cu 2.74, 4 Tl 2.88